Entry from the Alexandria database: an optimized crystal structure of ReMoO2 (PBE+U).

It has space group R-3m (No. 166, hexagonal axes), with a = 2.7628 Å, b = 2.7628 Å, c = 20.7796 Å, α = 90.00°, β = 90.00° and γ = 120.00°. The asymmetric unit holds Re at (0.0000, 0.0000, 0.0000), Mo at (0.0000, 0.0000, 0.5000) and O at (0.0000, 0.0000, 0.0967).

The value obtained for the raw total energy is -96.71 eV for the cell shown. As for the crystal system: trigonal. The polymorph energy (0 for the lowest one) is 0 meV per atom. The density of states at the Fermi level comes out at 6.5 states/eV/cell.